Record 1
14
Lattice="-0.837 4.641 -4.072 -4.690 -3.891 1.296 -2.438 5.006 6.206" Properties=species:S:1:pos:R:3 comment="Rb3AcAs2O8 | Alexandria | PBE | relaxed" sg=P-3m1 total_magnetization_mub_per_cell=0.0 raw_formation_energy_ev_per_atom=-1.989 density_g_cm3=4.51 pbc="T T T"
Rb -5.170 2.575 3.997
Rb -2.796 3.181 -0.567
Rb 0.000 0.000 0.000
Ac -1.219 2.503 3.103
As -4.005 0.183 1.032
As -3.960 5.573 2.398
O -3.513 -0.828 -0.221
O -4.453 6.584 3.652
O -4.771 -0.712 2.314
O -3.195 6.468 1.116
O -2.660 1.039 1.731
O -5.306 4.717 1.699
O -5.147 1.376 0.482
O -2.818 4.379 2.949



Record 2
12
Lattice="-3.864 5.149 0.331 -2.501 -6.499 -2.525 -2.107 -2.056 7.377" Properties=species:S:1:pos:R:3 comment="SrAg2RhCl8 | Alexandria | PBE | relaxed" sg=P2/m total_magnetization_mub_per_cell=0.0 raw_formation_energy_ev_per_atom=-0.964 density_g_cm3=3.53 pbc="T T T"
Sr -1.053 -1.028 3.689
Ag -4.759 -2.213 4.423
Ag -3.713 -1.192 0.760
Rh 0.000 0.000 0.000
Cl -2.504 -5.348 -0.444
Cl -6.276 -4.078 5.623
Cl -4.729 3.152 1.288
Cl -5.968 1.942 5.628
Cl -2.196 0.672 -0.440
Cl -3.743 -6.557 3.895
Cl -4.706 -3.258 2.024
Cl -3.766 -0.147 3.159



Record 3
5
Lattice="-2.897 3.467 1.937 -3.539 -3.097 0.252 1.460 -1.301 4.510" Properties=species:S:1:pos:R:3 comment="HfTl2FePd | Alexandria | PBE | relaxed" sg=P4/mmm total_magnetization_mub_per_cell=2.9 e_form_ev_per_atom=0.761 density_g_cm3=10.94 e_above_lowest_polymorph_mev_per_atom=0 pbc="T T T"
Tl 0.730 -0.650 2.255
Tl -1.448 1.733 0.969
Hf -2.488 -0.466 3.350
Fe 0.000 0.000 0.000
Pd -1.769 -1.549 0.126



Record 4
11
Lattice="-3.638 0.836 -0.383 -2.042 -6.075 6.130 3.478 7.886 2.559" Properties=species:S:1:pos:R:3 comment="Dy3Ho4Ni4 | Alexandria | PBE | relaxed" sg=Immm total_magnetization_mub_per_cell=0.0 e_form_ev_per_atom=-0.237 density_g_cm3=9.08 pbc="T T T"
Dy 0.139 1.147 1.183
Dy -2.341 1.500 7.122
Dy -1.021 -3.038 3.065
Ho 0.812 4.697 2.541
Ho -2.255 0.208 3.487
Ho -3.014 -2.050 5.764
Ho 0.053 2.439 4.819
Ni -0.714 -0.503 5.680
Ni -1.488 3.149 2.626
Ni -3.539 -4.698 4.970
Ni -2.141 -0.541 0.776



Record 5
5
Lattice="-0.989 -2.439 4.363 -1.250 -4.186 -2.623 4.840 -1.579 0.214" Properties=species:S:1:pos:R:3 comment="CsBaB3 | Alexandria | PBE | relaxed" sg=Pm-3m total_magnetization_mub_per_cell=0.2 e_form_ev_per_atom=2.468 density_g_cm3=3.80 e_above_lowest_polymorph_mev_per_atom=130 pbc="T T T"
Cs 0.000 0.000 0.000
B -0.625 -2.093 -1.312
B 2.420 -0.790 0.107
B -0.494 -1.220 2.182
Ba 1.300 -4.102 0.977



Record 6
5
Lattice="-3.036 3.036 3.036 3.036 -3.036 3.036 3.036 3.036 -3.036" Properties=species:S:1:pos:R:3 comment="IrSe4 | Alexandria | PBE | relaxed" sg=Im-3m total_magnetization_mub_per_cell=0.0 raw_formation_energy_ev_per_atom=0.472 density_g_cm3=7.53 e_above_lowest_polymorph_mev_per_atom=437 pbc="T T T"
Ir 0.000 0.000 0.000
Se -1.518 1.518 1.518
Se 1.518 1.518 1.518
Se 1.518 -1.518 1.518
Se 1.518 1.518 -1.518